Computed, not measured: an optimized crystal structure of LiHgN2 at the GGA-PBE level of DFT.

Properties
The final energy comes out at -14.06 eV per formula unit. The formation energy from raw total energies is 463 kJ/mol of formula units.

Lattice parameters (Å, degrees): 3.7601 3.7601 7.1662 74.79 74.79 90.00
Closest atoms and distances in Å follow each position.
Fractional positions:
1 Li 0.5000 0.5000 0.0000  4 N 1.96
2 Li 0.2500 0.7500 0.5000  4 N 1.96
3 Hg 0.0000 0.0000 0.0000  4 N 2.40, 4 Li 2.66
4 Hg 0.7500 0.2500 0.5000  4 N 2.40, 4 Li 2.66
5 N 0.4885 0.1250 0.2500  2 Li 1.96, 2 N 2.06
6 N 0.2615 0.6250 0.2500  2 Li 1.96, 2 N 2.06
7 N 0.3750 0.5115 0.7500  2 Li 1.96, 2 N 2.06
8 N 0.8750 0.7385 0.7500  2 Li 1.96, 2 N 2.06